[1]
{"formula": "Ni2Ru", "functional": "GGA-PBE", "state": "optimized geometry", "cell": [[4.245, 0.000, 0.000], [0.000, 4.245, 0.000], [0.000, 0.000, 2.559]], "species": ["Ni", "Ni", "Ru"], "frac_coords": [[0.000, 0.500, 0.000], [0.500, 0.000, 0.000], [0.000, 0.000, 0.500]], "rho_g_cm3": 7.9, "dos_at_fermi_per_ev_cell": 4.4, "total_energy_ev_per_atom": -6.25}

---

[2]
{"formula": "Ni3Ru", "functional": "GGA-PBE", "state": "optimized geometry", "cell": [[4.076, 2.353, 0.827], [-4.076, 2.353, 0.827], [0.000, -4.706, 0.827]], "species": ["Ni", "Ni", "Ni", "Ru"], "frac_coords": [[0.000, 0.500, 0.500], [0.500, 0.000, 0.500], [0.500, 0.500, 0.000], [0.000, 0.000, 0.000]], "rho_g_cm3": 9.7, "dos_at_fermi_per_ev_cell": 7.0, "total_energy_ev_per_atom": -6.41}

---

Summary of calculated formation energy in eV/atom
0.699, 0.242
(order as listed above)